No. 1
# Rb3Tb3InS8

An optimized crystal structure of Rb3Tb3InS8 (PBE, the Alexandria database).

The space group is C2/m (No. 12) and the conventional cell measures 13.920, 8.028 and 9.134 Å, with angles of 90.00, 120.57 and 90.00 degrees. Symmetry generates all atoms from Rb at (0.000, 0.000, 0.000), Rb at (0.250, 0.250, 0.000), Tb at (0.000, 0.500, 0.500), Tb at (0.250, 0.250, 0.500), In at (0.000, 0.000, 0.500), S at (0.019, 0.244, 0.312), S at (0.225, 0.000, 0.688) and S at (0.231, 0.500, 0.692).

The calculation puts the volume at 29.29 A^3/atom. As for the uncorrected formation energy: -1.4951 eV/atom.



No. 2
# AcBeGe2Rh

An optimized crystal structure of AcBeGe2Rh (PBE, the Alexandria database).

The space group is I-4m2 (No. 119) and the conventional cell measures 4.238, 4.238 and 10.754 Å, with angles of 90.00, 90.00 and 90.00 degrees. Symmetry generates all atoms from Ac at (0.000, 0.000, 0.000), Be at (0.000, 0.500, 0.750), Ge at (0.000, 0.000, 0.369) and Rh at (0.000, 0.500, 0.250).

The calculation puts the volume at 19.32 A^3/atom. The formation energy comes out at -553 meV/atom.



No. 3
# La3Ho2Tm3

An optimized crystal structure of La3Ho2Tm3 (PBE, the Alexandria database).

The space group is P-1 (No. 2) and the conventional cell measures 6.181, 6.257 and 8.033 Å, with angles of 104.99, 104.67 and 109.60 degrees. Symmetry generates all atoms from La at (0.000, 0.000, 0.000), La at (0.125, 0.625, 0.250), Ho at (0.252, 0.251, 0.503), Tm at (0.376, 0.876, 0.751) and Tm at (0.500, 0.500, 0.000).

The calculation puts the volume at 32.78 A^3/atom. The formation energy comes out at 29 meV/atom. The value obtained for the energy above the lowest structure with this stoichiometry is 0.0000 eV per atom.



No. 4
# Nd6As2S3Cl

An optimized crystal structure of Nd6As2S3Cl (PBE, the Alexandria database).

The space group is C2/m (No. 12) and the conventional cell measures 18.131, 4.158 and 8.318 Å, with angles of 90.00, 103.41 and 90.00 degrees. Symmetry generates all atoms from Nd at (0.001, 0.000, 0.226), Nd at (0.167, 0.500, 0.086), Nd at (0.176, 0.500, 0.585), As at (0.164, 0.000, 0.828), S at (0.000, 0.500, 0.000), S at (0.164, 0.000, 0.334) and Cl at (0.000, 0.500, 0.500).

The calculation puts the volume at 25.42 A^3/atom. As for the uncorrected formation energy: -1.7829 eV/atom.



No. 5
# Re3Ag

An optimized crystal structure of Re3Ag (PBE, the Alexandria database).

The space group is Fm-3m (No. 225) and the conventional cell measures 6.287, 6.287 and 6.287 Å, with angles of 90.00, 90.00 and 90.00 degrees. Symmetry generates all atoms from Re at (0.000, 0.000, 0.000), Re at (0.250, 0.250, 0.250) and Ag at (0.000, 0.000, 0.500).

The calculation puts the volume at 15.53 A^3/atom. The formation energy comes out at 697 meV/atom. The value obtained for the energy above the lowest structure with this stoichiometry is 0.4211 eV per atom.



No. 6
# ThCuOs

An optimized crystal structure of ThCuOs (PBE, the Alexandria database).

The space group is P4/nmm (No. 129, origin choice 2) and the conventional cell measures 4.407, 4.407 and 6.343 Å, with angles of 90.00, 90.00 and 90.00 degrees. Symmetry generates all atoms from Th at (0.250, 0.250, 0.201), Cu at (0.250, 0.250, 0.724) and Os at (0.250, 0.750, 0.500).

The calculation puts the volume at 20.53 A^3/atom. The formation energy comes out at -6 meV/atom. The value obtained for the energy above the lowest structure with this stoichiometry is 0.0897 eV per atom.



No. 7
# KRbZnAu2

An optimized crystal structure of KRbZnAu2 (PBE, the Alexandria database).

The space group is P4/mmm (No. 123) and the conventional cell measures 5.235, 5.235 and 5.671 Å, with angles of 90.00, 90.00 and 90.00 degrees. Symmetry generates all atoms from K at (0.000, 0.000, 0.000), Rb at (0.500, 0.500, 0.000), Zn at (0.000, 0.000, 0.500) and Au at (0.000, 0.500, 0.500).

The calculation puts the volume at 31.08 A^3/atom. The formation energy comes out at -81 meV/atom. The value obtained for the energy above the lowest structure with this stoichiometry is 0.0000 eV per atom.



No. 8
# HfPdC3

An optimized crystal structure of HfPdC3 (PBE, the Alexandria database).

The space group is Pm-3m (No. 221) and the conventional cell measures 3.976, 3.976 and 3.976 Å, with angles of 90.00, 90.00 and 90.00 degrees. Symmetry generates all atoms from Hf at (0.000, 0.000, 0.000), Pd at (0.500, 0.500, 0.500) and C at (0.000, 0.500, 0.500).

The calculation puts the volume at 12.57 A^3/atom. The formation energy comes out at 2036 meV/atom. The value obtained for the energy above the lowest structure with this stoichiometry is 0.0000 eV per atom.